Dy3ZrCd2 GGA-PBE optimized geometry; raw total energy = -4.2087 eV/atom; calculated density = 8.4 g/cm3; formation energy from the elements = -0.178 eV per atom
1.0
-0.596 2.582 2.247
1.407 -1.894 2.550
11.790 5.090 -2.725
Dy Zr Cd
3 1 2
Direct
0.000 0.000 0.672
0.000 0.000 0.328
0.000 0.000 0.000
0.500 0.500 0.500
0.500 0.500 0.161
0.500 0.500 0.839